No. 1
The following is a DFT calculation (PBE) of an optimized crystal structure of KNa2ZrTi.

abc: 6.1330 4.8436 6.1330
angles: 90.00 90.00 90.00
Atoms (fractional coordinates):
Na  0.0000  0.0000  0.5000
Ti  0.0000  0.0000  0.0000
Na  0.5000  0.0000  0.0000
K  0.5000  0.5000  0.5000
Zr  0.0000  0.5000  0.0000

formation energy: 885 meV/atom

=====

No. 2
The following is a DFT calculation (PBE) of an optimized crystal structure of AsNCl.

abc: 4.3780 5.2378 7.4427
angles: 106.48 92.65 112.57
Atoms (fractional coordinates):
Cl  0.8393  0.2195  0.2322
As  0.0882  0.0579  0.4232
As  0.7383  0.7082  0.6909
Cl  0.2141  0.3813  0.8660
N  0.2699  0.4409  0.6476
N  0.7218  0.8483  0.5062

formation energy (no corrections): 6.47 kcal/mol of atoms
energy relative to the lowest polymorph listed for this composition: 0.055 eV/atom

=====

No. 3
The following is a DFT calculation (PBE) of an optimized crystal structure of Cs3Sm2ScSe6.

abc: 7.3816 7.3816 8.7194
angles: 98.12 98.12 120.00
Atoms (fractional coordinates):
Se  0.2551  0.2551  0.8144
Se  0.6217  0.9386  0.8161
Cs  0.1701  0.8299  0.5000
Se  0.3783  0.0614  0.1839
Sm  0.3336  0.6664  0.0000
Se  0.7449  0.7449  0.1856
Se  0.9386  0.6217  0.8161
Sc  0.0000  0.0000  0.0000
Sm  0.6664  0.3336  0.0000
Cs  0.5000  0.5000  0.5000
Se  0.0614  0.3783  0.1839
Cs  0.8299  0.1701  0.5000

formation energy (no corrections): -38.44 kcal/mol of atoms

=====

No. 4
The following is a DFT calculation (PBE) of an optimized crystal structure of SrHgCl.

abc: 7.4358 7.4238 3.8697
angles: 75.08 74.73 30.19
Atoms (fractional coordinates):
Sr  0.6494  0.6494  0.3506
Cl  0.0513  0.0513  0.9487
Hg  0.2993  0.2993  0.7007

formation energy (no corrections): -26.72 kcal/mol of atoms
energy relative to the lowest polymorph listed for this composition: 0.214 eV/atom

=====

No. 5
The following is a DFT calculation (PBE) of an optimized crystal structure of BePt2W.

abc: 2.7692 3.7194 5.6435
angles: 90.00 90.00 90.00
Atoms (fractional coordinates):
Be  0.5000  0.5000  0.8035
Pt  0.0000  0.0000  0.9450
W  0.0000  0.0000  0.4889
Pt  0.5000  0.5000  0.2626

formation energy: -176 meV/atom

=====

No. 6
The following is a DFT calculation (PBE) of an optimized crystal structure of Ti2AlNi6.

abc: 5.4154 4.9273 4.9273
angles: 120.00 90.00 90.00
Atoms (fractional coordinates):
Ti  0.6521  0.3333  0.6667
Ni  0.1755  0.1748  0.3496
Ni  0.8245  0.8252  0.1748
Ni  0.1755  0.1748  0.8252
Ni  0.8245  0.3496  0.1748
Ti  0.3479  0.6667  0.3333
Al  0.5000  0.0000  0.0000
Ni  0.8245  0.8252  0.6504
Ni  0.1755  0.6504  0.8252

formation energy: -335 meV/atom
energy relative to the lowest polymorph listed for this composition: 0.000 eV/atom

=====

No. 7
The following is a DFT calculation (PBE) of an optimized crystal structure of La2SbRuC.

abc: 5.4033 5.4033 3.9892
angles: 90.00 90.00 90.00
Atoms (fractional coordinates):
La  0.5000  0.0000  0.0000
C  0.0000  0.0000  0.0000
La  0.0000  0.5000  0.0000
Ru  0.0000  0.0000  0.5000
Sb  0.5000  0.5000  0.5000

formation energy (no corrections): -11.46 kcal/mol of atoms

=====

No. 8
The following is a DFT calculation (PBE) of an optimized crystal structure of SrLiBe2F8.

abc: 4.8247 4.8247 7.1892
angles: 87.78 87.78 66.87
Last column: magnetic moment on the atom in μB.
Atoms (fractional coordinates):
Be  0.6219  0.6219  0.2187  -0.01
F  0.7612  0.2736  0.2114  0.07
F  0.2971  0.2971  0.5857  0.06
Be  0.3781  0.3781  0.7813  -0.01
F  0.7505  0.7505  0.0480  0.29
F  0.7029  0.7029  0.4143  0.06
Li  0.0000  0.0000  0.0000  0.00
F  0.2388  0.7264  0.7886  0.07
F  0.7264  0.2388  0.7886  0.07
F  0.2495  0.2495  0.9520  0.29
F  0.2736  0.7612  0.2114  0.07
Sr  0.0000  0.0000  0.5000  0.00

formation energy (no corrections): -70.71 kcal/mol of atoms